1.
VASP calculation (GGA-PBE) on a geometry-optimized ZnNi2Ge2 structure.

Calculated values
As for the formation enthalpy at 0 K: -225 meV per atom. As for the space-group type: P-3m1. The value obtained for the density of states at the Fermi level is 1.02 states/eV per cell. Its total magnetization is 0.00 μB/f.u.

Cell: 4.1448 4.1448 4.7949 Å, 90.00 90.00 120.00°
Closest atoms and distances in Å follow each position.
Sites, in units of the cell vectors:
Zn 0.0000 0.0000 0.0000  6 Ni 2.51
Ni 0.3333 0.6667 0.1596  5 Ge 2.39-2.55, 3 Zn 2.51
Ni 0.6667 0.3333 0.8404  5 Ge 2.39-2.55, 3 Zn 2.51
Ge 0.3333 0.6667 0.6589  5 Ni 2.39-2.55
Ge 0.6667 0.3333 0.3411  5 Ni 2.39-2.55

---

2.
VASP calculation (GGA-PBE) on a geometry-optimized ZnNi4Ge2 structure.

Calculated values
As for the formation enthalpy at 0 K: -207 meV per atom. As for the space-group type: Pbam. The value obtained for the density of states at the Fermi level is 7.74 states/eV per cell. Its total magnetization is 0.00 μB/f.u.

Cell: 4.8946 9.5672 3.9124 Å, 90.00 90.00 90.00°
Closest atoms and distances in Å follow each position.
Sites, in units of the cell vectors:
Zn 0.0000 0.0000 0.0000  6 Ni 2.37-2.51
Zn 0.5000 0.5000 0.0000  6 Ni 2.37-2.51
Ni 0.0958 0.2578 0.0000  6 Ni 2.45-2.72, 1 Zn 2.51, 4 Ge 2.53-2.59
Ni 0.1651 0.8883 0.5000  2 Zn 2.37, 4 Ge 2.41-2.52, 2 Ni 2.60
Ni 0.3349 0.3883 0.5000  2 Zn 2.37, 4 Ge 2.41-2.52, 2 Ni 2.60
Ni 0.4042 0.7578 0.0000  6 Ni 2.45-2.72, 1 Zn 2.51, 4 Ge 2.53-2.59
Ni 0.5958 0.2422 0.0000  6 Ni 2.45-2.72, 1 Zn 2.51, 4 Ge 2.53-2.59
Ni 0.6651 0.6117 0.5000  2 Zn 2.37, 4 Ge 2.41-2.52, 2 Ni 2.60
Ni 0.8349 0.1117 0.5000  2 Zn 2.37, 4 Ge 2.41-2.52, 2 Ni 2.60
Ni 0.9042 0.7422 0.0000  6 Ni 2.45-2.72, 1 Zn 2.51, 4 Ge 2.53-2.59
Ge 0.1549 0.6347 0.5000  8 Ni 2.41-2.59
Ge 0.3451 0.1347 0.5000  8 Ni 2.41-2.59
Ge 0.6549 0.8653 0.5000  8 Ni 2.41-2.59
Ge 0.8451 0.3653 0.5000  8 Ni 2.41-2.59

---

3.
VASP calculation (GGA-PBE) on a geometry-optimized ZnNi2Ge2 structure.

Calculated values
As for the formation enthalpy at 0 K: -22 meV per atom. As for the space-group type: P4/mbm. The value obtained for the density of states at the Fermi level is 4.08 states/eV per cell. Its total magnetization is 0.00 μB/f.u.

Cell: 7.2135 7.2135 2.7234 Å, 90.00 90.00 90.00°
Closest atoms and distances in Å follow each position.
Sites, in units of the cell vectors:
Zn 0.0000 0.0000 0.0000  4 Ge 2.71, 2 Zn 2.72
Zn 0.5000 0.5000 0.0000  4 Ge 2.71, 2 Zn 2.72
Ni 0.1342 0.3658 0.5000  6 Ge 2.51-2.52, 3 Ni 2.72-2.74
Ni 0.3658 0.8658 0.5000  6 Ge 2.51-2.52, 3 Ni 2.72-2.74
Ni 0.6342 0.1342 0.5000  6 Ge 2.51-2.52, 3 Ni 2.72-2.74
Ni 0.8658 0.6342 0.5000  6 Ge 2.51-2.52, 3 Ni 2.72-2.74
Ge 0.1590 0.6590 0.0000  6 Ni 2.51-2.52, 2 Zn 2.71, 2 Ge 2.72
Ge 0.3410 0.1590 0.0000  6 Ni 2.51-2.52, 2 Zn 2.71, 2 Ge 2.72
Ge 0.6590 0.8410 0.0000  6 Ni 2.51-2.52, 2 Zn 2.71, 2 Ge 2.72
Ge 0.8410 0.3410 0.0000  6 Ni 2.51-2.52, 2 Zn 2.71, 2 Ge 2.72

---

4.
VASP calculation (GGA-PBE) on a geometry-optimized ZnNiGe structure.

Calculated values
As for the formation enthalpy at 0 K: -158 meV per atom. As for the space-group type: R-3m. The value obtained for the density of states at the Fermi level is 2.48 states/eV per cell. Its total magnetization is 0.00 μB/f.u.

Cell: 6.9677 6.9677 6.9677 Å, 33.51 33.51 33.51°
Closest atoms and distances in Å follow each position.
Sites, in units of the cell vectors:
Zn 0.1271 0.1271 0.1271  4 Ni 2.45-2.51
Zn 0.8729 0.8729 0.8729  4 Ni 2.45-2.51
Ni 0.0000 0.0000 0.0000  6 Ge 2.48, 2 Zn 2.51
Ni 0.5000 0.5000 0.5000  2 Ge 2.42, 6 Zn 2.45
Ge 0.3773 0.3773 0.3773  4 Ni 2.42-2.48
Ge 0.6227 0.6227 0.6227  4 Ni 2.42-2.48